*a*
This record from the Alexandria database describes a relaxed structure of Pr4Ho2Sc. The functional is GGA-PBE.

The structure in POSCAR format:
```
Pr4Ho2Sc
1.0
3.101 -6.463 0.000
3.101 6.463 0.000
0.000 0.000 6.017
Pr Ho Sc
4 2 1
direct
0.135 0.865 0.000 Pr
0.313 0.687 0.500 Pr
0.687 0.313 0.500 Pr
0.865 0.135 0.000 Pr
0.387 0.613 0.000 Ho
0.613 0.387 0.000 Ho
0.000 0.000 0.500 Sc
```

Summary:
Crystal system ... orthorhombic
Spin magnetization ... 0.002 μB per formula unit


*b*
This record from the Alexandria database describes a relaxed structure of Pr4Ho2Sc. The functional is GGA-PBE.

The structure in POSCAR format:
```
Pr4Ho2Sc
1.0
3.108 -12.569 0.000
3.108 12.569 0.000
-2.039 0.000 5.885
Pr Ho Sc
8 4 2
direct
0.036 0.964 0.750 Pr
0.248 0.752 0.250 Pr
0.323 0.677 0.750 Pr
0.462 0.538 0.750 Pr
0.538 0.462 0.250 Pr
0.677 0.323 0.250 Pr
0.752 0.248 0.750 Pr
0.964 0.036 0.250 Pr
0.176 0.824 0.750 Ho
0.392 0.608 0.250 Ho
0.608 0.392 0.750 Ho
0.824 0.176 0.250 Ho
0.108 0.892 0.250 Sc
0.892 0.108 0.750 Sc
```

Summary:
Crystal system ... monoclinic
Spin magnetization ... 0.000 μB per formula unit


Verdict on stability: *a* comes out at the bottom.


*a*
This record from the Alexandria database describes a relaxed structure of PrHo3Sc2. The functional is GGA-PBE.

The structure in POSCAR format:
```
PrHo3Sc2
1.0
11.321 -1.701 0.000
11.321 1.701 0.000
-3.071 0.000 9.432
Pr Ho Sc
2 6 4
direct
0.181 0.181 0.046 Pr
0.819 0.819 0.954 Pr
0.060 0.060 0.438 Ho
0.197 0.197 0.708 Ho
0.434 0.434 0.233 Ho
0.566 0.566 0.767 Ho
0.803 0.803 0.292 Ho
0.940 0.940 0.562 Ho
0.192 0.192 0.375 Sc
0.431 0.431 0.857 Sc
0.569 0.569 0.143 Sc
0.808 0.808 0.625 Sc
```

Summary:
Crystal system ... monoclinic
Spin magnetization ... 0.000 μB per formula unit


*b*
This record from the Alexandria database describes a relaxed structure of PrHo3Sc2. The functional is GGA-PBE.

The structure in POSCAR format:
```
PrHo3Sc2
1.0
-3.520 8.402 3.083
3.520 -8.402 3.083
3.520 8.402 -3.083
Pr Ho Sc
2 6 4
direct
0.255 0.005 0.250 Pr
0.745 0.995 0.750 Pr
0.184 0.747 0.437 Ho
0.190 0.253 0.937 Ho
0.246 0.496 0.750 Ho
0.754 0.504 0.250 Ho
0.810 0.747 0.063 Ho
0.816 0.253 0.563 Ho
0.354 0.000 0.854 Sc
0.354 0.500 0.354 Sc
0.646 0.000 0.146 Sc
0.646 0.500 0.646 Sc
```

Summary:
Crystal system ... orthorhombic
Spin magnetization ... 0.002 μB per formula unit


Verdict on stability: *b* comes out at the bottom.


*a*
This record from the Alexandria database describes a relaxed structure of Pr3HoSc. The functional is GGA-PBE.

The structure in POSCAR format:
```
Pr3HoSc
1.0
4.636 -7.554 0.000
4.636 7.554 0.000
-1.451 0.000 9.406
Pr Ho Sc
12 4 4
direct
0.005 0.433 0.805 Pr
0.113 0.763 0.555 Pr
0.237 0.887 0.945 Pr
0.299 0.514 0.386 Pr
0.433 0.005 0.305 Pr
0.486 0.701 0.114 Pr
0.514 0.299 0.886 Pr
0.567 0.995 0.695 Pr
0.701 0.486 0.614 Pr
0.763 0.113 0.055 Pr
0.887 0.237 0.445 Pr
0.995 0.567 0.195 Pr
0.197 0.282 0.050 Ho
0.282 0.197 0.550 Ho
0.718 0.803 0.450 Ho
0.803 0.718 0.950 Ho
0.026 0.974 0.250 Sc
0.415 0.585 0.750 Sc
0.585 0.415 0.250 Sc
0.974 0.026 0.750 Sc
```

Summary:
Crystal system ... monoclinic
Spin magnetization ... 0.000 μB per formula unit


*b*
This record from the Alexandria database describes a relaxed structure of Pr3HoSc. The functional is GGA-PBE.

The structure in POSCAR format:
```
Pr3HoSc
1.0
3.552 0.000 0.000
0.000 17.585 0.000
0.000 0.000 10.771
Pr Ho Sc
12 4 4
direct
0.245 0.250 0.000 Pr
0.245 0.250 0.500 Pr
0.254 0.577 0.061 Pr
0.254 0.577 0.439 Pr
0.254 0.923 0.561 Pr
0.254 0.923 0.939 Pr
0.746 0.077 0.061 Pr
0.746 0.077 0.439 Pr
0.746 0.423 0.561 Pr
0.746 0.423 0.939 Pr
0.755 0.750 0.000 Pr
0.755 0.750 0.500 Pr
0.242 0.105 0.750 Ho
0.242 0.395 0.250 Ho
0.758 0.605 0.750 Ho
0.758 0.895 0.250 Ho
0.257 0.729 0.250 Sc
0.257 0.771 0.750 Sc
0.743 0.229 0.250 Sc
0.743 0.271 0.750 Sc
```

Summary:
Crystal system ... orthorhombic
Spin magnetization ... 0.000 μB per formula unit


Verdict on stability: *b* comes out at the bottom.


*a*
This record from the Alexandria database describes a relaxed structure of Pr2Ho5Sc2. The functional is GGA-PBE.

The structure in POSCAR format:
```
Pr2Ho5Sc2
1.0
6.072 0.000 0.000
1.004 5.993 0.000
2.021 0.712 7.542
Pr Ho Sc
2 5 2
direct
0.221 0.444 0.113 Pr
0.779 0.556 0.887 Pr
0.000 0.000 0.000 Ho
0.116 0.221 0.553 Ho
0.448 0.887 0.230 Ho
0.552 0.113 0.770 Ho
0.884 0.779 0.447 Ho
0.335 0.664 0.662 Sc
0.665 0.336 0.338 Sc
```

Summary:
Crystal system ... triclinic
Spin magnetization ... 0.000 μB per formula unit


*b*
This record from the Alexandria database describes a relaxed structure of Pr2Ho5Sc2. The functional is GGA-PBE.

The structure in POSCAR format:
```
Pr2Ho5Sc2
1.0
-7.575 6.300 2.969
7.575 -6.300 2.969
7.575 6.300 -2.969
Pr Ho Sc
4 10 4
direct
0.000 0.000 0.000 Pr
0.000 0.500 0.500 Pr
0.089 0.887 0.702 Pr
0.186 0.387 0.298 Pr
0.280 0.003 0.361 Ho
0.280 0.419 0.777 Ho
0.312 0.763 0.835 Ho
0.312 0.977 0.050 Ho
0.485 0.418 0.567 Ho
0.642 0.503 0.223 Ho
0.642 0.919 0.639 Ho
0.851 0.918 0.433 Ho
0.928 0.263 0.950 Ho
0.928 0.477 0.165 Ho
0.553 0.751 0.095 Sc
0.553 0.959 0.303 Sc
0.656 0.251 0.697 Sc
0.656 0.459 0.905 Sc
```

Summary:
Crystal system ... orthorhombic
Spin magnetization ... 0.000 μB per formula unit


Verdict on stability: *b* comes out at the bottom.


*a*
This record from the Alexandria database describes a relaxed structure of PrHo2Sc. The functional is GGA-PBE.

The structure in POSCAR format:
```
PrHo2Sc
1.0
4.925 0.000 0.000
0.000 4.925 0.000
0.000 0.000 5.025
Pr Ho Sc
1 2 1
direct
0.000 0.000 0.000 Pr
0.000 0.500 0.500 Ho
0.500 0.000 0.500 Ho
0.500 0.500 0.000 Sc
```

Summary:
Crystal system ... tetragonal
Spin magnetization ... 0.000 μB per formula unit


*b*
This record from the Alexandria database describes a relaxed structure of PrHo2Sc. The functional is GGA-PBE.

The structure in POSCAR format:
```
PrHo2Sc
1.0
1.760 1.016 11.384
-1.760 1.016 11.384
0.000 -2.032 11.384
Pr Ho Sc
1 2 1
direct
0.000 0.000 0.000 Pr
0.245 0.245 0.245 Ho
0.755 0.755 0.755 Ho
0.500 0.500 0.500 Sc
```

Summary:
Crystal system ... trigonal
Spin magnetization ... 0.000 μB per formula unit


*c*
This record from the Alexandria database describes a relaxed structure of PrHo2Sc. The functional is GGA-PBE.

The structure in POSCAR format:
```
PrHo2Sc
1.0
0.000 3.952 3.952
3.952 0.000 3.952
3.952 3.952 0.000
Pr Ho Sc
1 2 1
direct
0.000 0.000 0.000 Pr
0.250 0.250 0.250 Ho
0.750 0.750 0.750 Ho
0.500 0.500 0.500 Sc
```

Summary:
Crystal system ... cubic
Spin magnetization ... 0.009 μB per formula unit


Verdict on stability: *c* comes out at the bottom.


*a*
This record from the Alexandria database describes a relaxed structure of Pr2Ho3Sc2. The functional is GGA-PBE.

The structure in POSCAR format:
```
Pr2Ho3Sc2
1.0
2.611 -11.764 0.000
2.611 11.764 0.000
0.000 0.000 3.488
Pr Ho Sc
2 3 2
direct
0.077 0.923 0.000 Pr
0.923 0.077 0.000 Pr
0.342 0.658 0.500 Ho
0.500 0.500 0.500 Ho
0.658 0.342 0.500 Ho
0.217 0.783 0.000 Sc
0.783 0.217 0.000 Sc
```

Summary:
Crystal system ... orthorhombic
Spin magnetization ... 0.000 μB per formula unit


*b*
This record from the Alexandria database describes a relaxed structure of Pr2Ho3Sc2. The functional is GGA-PBE.

The structure in POSCAR format:
```
Pr2Ho3Sc2
1.0
5.494 -2.493 0.000
5.494 2.493 0.000
-1.169 0.000 7.768
Pr Ho Sc
2 3 2
direct
0.074 0.074 0.225 Pr
0.926 0.926 0.775 Pr
0.356 0.356 0.071 Ho
0.500 0.500 0.500 Ho
0.644 0.644 0.929 Ho
0.215 0.215 0.641 Sc
0.785 0.785 0.359 Sc
```

Summary:
Crystal system ... monoclinic
Spin magnetization ... 0.000 μB per formula unit


Verdict on stability: *b* comes out at the bottom.


*a*
This record from the Alexandria database describes a relaxed structure of Pr4Ho4Sc. The functional is GGA-PBE.

The structure in POSCAR format:
```
Pr4Ho4Sc
1.0
-5.375 5.375 2.539
5.375 -5.375 2.539
5.375 5.375 -2.539
Pr Ho Sc
4 4 1
direct
0.000 0.328 0.328 Pr
0.000 0.672 0.672 Pr
0.328 0.000 0.328 Pr
0.672 0.000 0.672 Pr
0.337 0.337 0.673 Ho
0.337 0.663 0.000 Ho
0.663 0.337 0.000 Ho
0.663 0.663 0.327 Ho
0.000 0.000 0.000 Sc
```

Summary:
Crystal system ... tetragonal
Spin magnetization ... 0.000 μB per formula unit


*b*
This record from the Alexandria database describes a relaxed structure of Pr4Ho4Sc. The functional is GGA-PBE.

The structure in POSCAR format:
```
Pr4Ho4Sc
1.0
-2.658 2.658 11.767
2.658 -2.658 11.767
2.658 2.658 -11.767
Pr Ho Sc
4 4 1
direct
0.120 0.626 0.000 Pr
0.374 0.374 0.493 Pr
0.626 0.120 0.000 Pr
0.880 0.880 0.507 Pr
0.000 0.500 0.500 Ho
0.253 0.253 0.000 Ho
0.500 0.000 0.500 Ho
0.747 0.747 0.000 Ho
0.000 0.000 0.000 Sc
```

Summary:
Crystal system ... tetragonal
Spin magnetization ... 0.010 μB per formula unit


Verdict on stability: *b* comes out at the bottom.


*a*
This record from the Alexandria database describes a relaxed structure of PrHoSc4. The functional is GGA-PBE.

The structure in POSCAR format:
```
PrHoSc4
1.0
3.286 -9.290 0.000
3.286 9.290 0.000
0.000 0.000 5.355
Pr Ho Sc
2 2 8
direct
0.123 0.877 0.750 Pr
0.877 0.123 0.250 Pr
0.373 0.627 0.250 Ho
0.627 0.373 0.750 Ho
0.043 0.460 0.750 Sc
0.214 0.297 0.750 Sc
0.297 0.214 0.250 Sc
0.460 0.043 0.250 Sc
0.540 0.957 0.750 Sc
0.703 0.786 0.750 Sc
0.786 0.703 0.250 Sc
0.957 0.540 0.250 Sc
```

Summary:
Crystal system ... orthorhombic
Spin magnetization ... 0.000 μB per formula unit


*b*
This record from the Alexandria database describes a relaxed structure of PrHoSc4. The functional is GGA-PBE.

The structure in POSCAR format:
```
PrHoSc4
1.0
5.356 0.000 0.000
0.000 10.281 0.000
0.000 0.000 5.981
Pr Ho Sc
2 2 8
direct
0.250 0.250 0.074 Pr
0.750 0.750 0.926 Pr
0.250 0.750 0.575 Ho
0.750 0.250 0.425 Ho
0.250 0.078 0.588 Sc
0.250 0.422 0.588 Sc
0.250 0.579 0.090 Sc
0.250 0.921 0.090 Sc
0.750 0.079 0.910 Sc
0.750 0.421 0.910 Sc
0.750 0.578 0.412 Sc
0.750 0.922 0.412 Sc
```

Summary:
Crystal system ... orthorhombic
Spin magnetization ... 0.026 μB per formula unit


Verdict on stability: *a* comes out at the bottom.


*a*
This record from the Alexandria database describes a relaxed structure of Pr7Ho12Sc. The functional is GGA-PBE.

The structure in POSCAR format:
```
Pr7Ho12Sc
1.0
-5.659 5.659 5.659
5.659 -5.659 5.659
5.659 5.659 -5.659
Pr Ho Sc
7 12 1
direct
0.000 0.000 0.500 Pr
0.000 0.500 0.000 Pr
0.000 0.500 0.500 Pr
0.500 0.000 0.000 Pr
0.500 0.000 0.500 Pr
0.500 0.500 0.000 Pr
0.500 0.500 0.500 Pr
0.000 0.241 0.759 Ho
0.000 0.759 0.241 Ho
0.241 0.000 0.759 Ho
0.241 0.241 0.482 Ho
0.241 0.482 0.241 Ho
0.241 0.759 0.000 Ho
0.482 0.241 0.241 Ho
0.518 0.759 0.759 Ho
0.759 0.000 0.241 Ho
0.759 0.241 0.000 Ho
0.759 0.518 0.759 Ho
0.759 0.759 0.518 Ho
0.000 0.000 0.000 Sc
```

Summary:
Crystal system ... cubic
Spin magnetization ... 0.000 μB per formula unit


*b*
This record from the Alexandria database describes a relaxed structure of Pr7Ho12Sc. The functional is GGA-PBE.

The structure in POSCAR format:
```
Pr7Ho12Sc
1.0
5.973 3.448 5.428
-5.973 3.448 5.428
0.000 -6.897 5.428
Pr Ho Sc
7 12 1
direct
0.000 0.000 0.000 Pr
0.101 0.346 0.414 Pr
0.346 0.414 0.101 Pr
0.414 0.101 0.346 Pr
0.586 0.899 0.654 Pr
0.654 0.586 0.899 Pr
0.899 0.654 0.586 Pr
0.001 0.362 0.887 Ho
0.113 0.999 0.638 Ho
0.234 0.743 0.357 Ho
0.257 0.643 0.766 Ho
0.357 0.234 0.743 Ho
0.362 0.887 0.001 Ho
0.638 0.113 0.999 Ho
0.643 0.766 0.257 Ho
0.743 0.357 0.234 Ho
0.766 0.257 0.643 Ho
0.887 0.001 0.362 Ho
0.999 0.638 0.113 Ho
0.500 0.500 0.500 Sc
```

Summary:
Crystal system ... trigonal
Spin magnetization ... 0.000 μB per formula unit


Verdict on stability: *a* comes out at the bottom.


*a*
This record from the Alexandria database describes a relaxed structure of PrHo3Sc. The functional is GGA-PBE.

The structure in POSCAR format:
```
PrHo3Sc
1.0
6.059 0.000 0.000
-2.030 6.755 0.000
-0.949 -2.128 7.461
Pr Ho Sc
2 6 2
direct
0.106 0.450 0.199 Pr
0.894 0.550 0.801 Pr
0.108 0.952 0.198 Ho
0.301 0.350 0.606 Ho
0.303 0.853 0.607 Ho
0.697 0.147 0.393 Ho
0.699 0.650 0.394 Ho
0.892 0.048 0.802 Ho
0.498 0.246 0.999 Sc
0.502 0.754 0.001 Sc
```

Summary:
Crystal system ... triclinic
Spin magnetization ... 0.000 μB per formula unit


*b*
This record from the Alexandria database describes a relaxed structure of PrHo3Sc. The functional is GGA-PBE.

The structure in POSCAR format:
```
PrHo3Sc
1.0
6.201 0.000 0.000
0.000 5.592 0.000
-3.071 0.000 8.927
Pr Ho Sc
2 6 2
direct
0.069 0.250 0.299 Pr
0.931 0.750 0.701 Pr
0.143 0.750 0.094 Ho
0.274 0.250 0.711 Ho
0.337 0.750 0.504 Ho
0.663 0.250 0.496 Ho
0.726 0.750 0.289 Ho
0.857 0.250 0.906 Ho
0.464 0.250 0.095 Sc
0.536 0.750 0.905 Sc
```

Summary:
Crystal system ... monoclinic
Spin magnetization ... 0.003 μB per formula unit


Verdict on stability: *a* comes out at the bottom.